No. 1
## ScBeSi2Ni (PBE-GGA)

Data for a relaxed ScBeSi2Ni crystal.

CIF file:
```
data_ScBeSi2Ni
_cell_length_a 3.706
_cell_length_b 3.706
_cell_length_c 9.866
_cell_angle_alpha 90.00
_cell_angle_beta 90.00
_cell_angle_gamma 90.00
_space_group_name_H-M_alt 'I -4 m 2'
_space_group_IT_number 119
_space_group_name_Hall 'I -4 -2'
loop_
_atom_site_label
_atom_site_type_symbol
_atom_site_fract_x
_atom_site_fract_y
_atom_site_fract_z
_atom_site_occupancy
Sc1 Sc 0.000 0.000 0.000 1
Be1 Be 0.000 0.500 0.250 1
Si1 Si 0.000 0.000 0.383 1
Ni1 Ni 0.000 0.500 0.750 1
```

Calculated values
- M_tot (μB/cell) = 0.00
- calculated volume (Å³/f.u.) = 68
- crystal system = tetragonal
- formation energy without anion corrections (kJ/mol of formula units) = -312

No. 2
## Sr2CoW (PBE-GGA)

Data for a relaxed Sr2CoW crystal.

CIF file:
```
data_Sr2CoW
_cell_length_a 7.535
_cell_length_b 7.535
_cell_length_c 7.535
_cell_angle_alpha 90.00
_cell_angle_beta 90.00
_cell_angle_gamma 90.00
_space_group_name_H-M_alt 'F m -3 m'
_space_group_IT_number 225
_space_group_name_Hall '-F 4 2 3'
loop_
_atom_site_label
_atom_site_type_symbol
_atom_site_fract_x
_atom_site_fract_y
_atom_site_fract_z
_atom_site_occupancy
Sr1 Sr 0.250 0.250 0.250 1
Co1 Co 0.000 0.000 0.000 1
W1 W 0.000 0.000 0.500 1
```

Calculated values
- M_tot (μB/cell) = 19.84
- calculated volume (Å³/f.u.) = 107
- offset from the most stable computed form (eV per atom) = 0.783
- crystal system = cubic

No. 3
## BaZn2SnAu5 (PBE-GGA)

Data for a relaxed BaZn2SnAu5 crystal.

CIF file:
```
data_BaZn2SnAu5
_cell_length_a 5.140
_cell_length_b 5.140
_cell_length_c 7.842
_cell_angle_alpha 90.00
_cell_angle_beta 90.00
_cell_angle_gamma 90.00
_space_group_name_H-M_alt 'P 4/m m m'
_space_group_IT_number 123
_space_group_name_Hall '-P 4 2'
loop_
_atom_site_label
_atom_site_type_symbol
_atom_site_fract_x
_atom_site_fract_y
_atom_site_fract_z
_atom_site_occupancy
Ba1 Ba 0.000 0.000 0.000 1
Zn1 Zn 0.500 0.500 0.329 1
Sn1 Sn 0.000 0.000 0.500 1
Au1 Au 0.000 0.500 0.304 1
Au2 Au 0.500 0.500 0.000 1
```

Calculated values
- M_tot (μB/cell) = 0.00
- calculated volume (Å³/f.u.) = 207
- crystal system = tetragonal
- raw total energy (eV/atom) = -3.010

No. 4
## Li6PS5Br (PBE-GGA)

Data for a relaxed Li6PS5Br crystal.

CIF file:
```
data_Li6PS5Br
_cell_length_a 10.309
_cell_length_b 10.309
_cell_length_c 10.309
_cell_angle_alpha 90.00
_cell_angle_beta 90.00
_cell_angle_gamma 90.00
_space_group_name_H-M_alt 'F -4 3 m'
_space_group_IT_number 216
_space_group_name_Hall 'F -4 2 3'
loop_
_atom_site_label
_atom_site_type_symbol
_atom_site_fract_x
_atom_site_fract_y
_atom_site_fract_z
_atom_site_occupancy
Li1 Li 0.000 0.000 0.227 1
P1 P 0.250 0.250 0.750 1
S1 S 0.000 0.000 0.000 1
S2 S 0.135 0.135 0.635 1
Br1 Br 0.250 0.250 0.250 1
```

Calculated values
- M_tot (μB/cell) = 0.54
- calculated volume (Å³/f.u.) = 274
- crystal system = cubic
- formation energy without anion corrections (kJ/mol of formula units) = -1339

No. 5
## FeCoW (PBE-GGA)

Data for a relaxed FeCoW crystal.

CIF file:
```
data_FeCoW
_cell_length_a 2.650
_cell_length_b 3.608
_cell_length_c 7.903
_cell_angle_alpha 90.00
_cell_angle_beta 90.00
_cell_angle_gamma 90.00
_space_group_name_H-M_alt 'I m m 2'
_space_group_IT_number 44
loop_
_space_group_symop_operation_xyz
'x,y,z'
'-x,-y,z'
'-x,y,z'
'x,-y,z'
'x+1/2,y+1/2,z+1/2'
'-x+1/2,-y+1/2,z+1/2'
'-x+1/2,y+1/2,z+1/2'
'x+1/2,-y+1/2,z+1/2'
loop_
_atom_site_label
_atom_site_type_symbol
_atom_site_fract_x
_atom_site_fract_y
_atom_site_fract_z
_atom_site_occupancy
Fe1 Fe 0.000 0.000 0.000 1
Co1 Co 0.000 0.000 0.655 1
W1 W 0.000 0.000 0.326 1
```

Calculated values
- M_tot (μB/cell) = 4.54
- calculated volume (Å³/f.u.) = 38
- offset from the most stable computed form (eV per atom) = 0.104
- crystal system = orthorhombic

No. 6
## LiYZn10 (PBE-GGA)

Data for a relaxed LiYZn10 crystal.

CIF file:
```
data_LiYZn10
_cell_length_a 4.306
_cell_length_b 5.149
_cell_length_c 9.114
_cell_angle_alpha 90.00
_cell_angle_beta 90.00
_cell_angle_gamma 90.00
_space_group_name_H-M_alt 'P m m m'
_space_group_IT_number 47
loop_
_space_group_symop_operation_xyz
'x,y,z'
'-x,-y,-z'
'-x,-y,z'
'x,y,-z'
'x,-y,-z'
'-x,y,z'
'-x,y,-z'
'x,-y,z'
loop_
_atom_site_label
_atom_site_type_symbol
_atom_site_fract_x
_atom_site_fract_y
_atom_site_fract_z
_atom_site_occupancy
Li1 Li 0.000 0.000 0.000 1
Y1 Y 0.000 0.500 0.500 1
Zn1 Zn 0.000 0.000 0.312 1
Zn2 Zn 0.000 0.500 0.155 1
Zn3 Zn 0.500 0.000 0.500 1
Zn4 Zn 0.500 0.256 0.258 1
Zn5 Zn 0.500 0.500 0.000 1
```

Calculated values
- M_tot (μB/cell) = 0.00
- calculated volume (Å³/f.u.) = 202
- crystal system = orthorhombic
- raw total energy (eV/atom) = -1.935

No. 7
## Pm4Dy6Tm (PBE-GGA)

Data for a relaxed Pm4Dy6Tm crystal.

CIF file:
```
data_Pm4Dy6Tm
_cell_length_a 17.112
_cell_length_b 6.260
_cell_length_c 6.857
_cell_angle_alpha 90.00
_cell_angle_beta 100.15
_cell_angle_gamma 90.00
_space_group_name_H-M_alt 'C 1 2 1'
_space_group_IT_number 5
loop_
_space_group_symop_operation_xyz
'x,y,z'
'-x,y,-z'
'x+1/2,y+1/2,z'
'-x+1/2,y+1/2,-z'
loop_
_atom_site_label
_atom_site_type_symbol
_atom_site_fract_x
_atom_site_fract_y
_atom_site_fract_z
_atom_site_occupancy
Pm1 Pm 0.149 0.000 0.408 1
Pm2 Pm 0.177 0.500 0.749 1
Dy1 Dy 0.000 0.266 0.500 1
Dy2 Dy 0.000 0.501 0.000 1
Dy3 Dy 0.106 0.999 0.915 1
Dy4 Dy 0.191 0.500 0.240 1
Tm1 Tm 0.000 0.736 0.500 1
```

Calculated values
- M_tot (μB/cell) = 0.00
- calculated volume (Å³/f.u.) = 361
- offset from the most stable computed form (eV per atom) = 0.016
- crystal system = monoclinic

No. 8
## HfV6Ge4 (PBE-GGA)

Data for a relaxed HfV6Ge4 crystal.

CIF file:
```
data_HfV6Ge4
_cell_length_a 6.525
_cell_length_b 6.525
_cell_length_c 8.832
_cell_angle_alpha 90.00
_cell_angle_beta 90.00
_cell_angle_gamma 90.00
_space_group_name_H-M_alt 'I -4 2 m'
_space_group_IT_number 121
_space_group_name_Hall 'I -4 2'
loop_
_atom_site_label
_atom_site_type_symbol
_atom_site_fract_x
_atom_site_fract_y
_atom_site_fract_z
_atom_site_occupancy
Hf1 Hf 0.000 0.000 0.000 1
V1 V 0.000 0.500 0.000 1
V2 V 0.138 0.138 0.643 1
Ge1 Ge 0.232 0.232 0.383 1
```

Calculated values
- M_tot (μB/cell) = 0.01
- calculated volume (Å³/f.u.) = 188
- crystal system = tetragonal
- raw total energy (eV/atom) = -7.472

No. 9
## Cs3Cu2PdBr9 (PBE-GGA)

Data for a relaxed Cs3Cu2PdBr9 crystal.

CIF file:
```
data_Cs3Cu2PdBr9
_cell_length_a 7.5009
_cell_length_b 7.5009
_cell_length_c 9.1397
_cell_angle_alpha 90.00
_cell_angle_beta 90.00
_cell_angle_gamma 120.00
_space_group_name_H-M_alt 'P -3 m 1'
_space_group_IT_number 164
_space_group_name_Hall '-P 3 2"'
loop_
_atom_site_label
_atom_site_type_symbol
_atom_site_fract_x
_atom_site_fract_y
_atom_site_fract_z
_atom_site_occupancy
Cs1 Cs 0.0000 0.0000 0.0000 1
Cs2 Cs 0.3333 0.6667 0.6690 1
Cu1 Cu 0.3333 0.6667 0.1598 1
Pd1 Pd 0.0000 0.0000 0.5000 1
Br1 Br 0.0000 0.5000 0.0000 1
Br2 Br 0.1661 0.3322 0.3345 1
```

Calculated values
- M_tot (μB/cell) = 0.00
- calculated volume (Å³/f.u.) = 445
- crystal system = trigonal
- formation energy without anion corrections (kJ/mol of formula units) = -1295

No. 10
## Mn2GaHRu (PBE-GGA)

Data for a relaxed Mn2GaHRu crystal.

CIF file:
```
data_Mn2GaHRu
_cell_length_a 3.751
_cell_length_b 3.751
_cell_length_c 3.920
_cell_angle_alpha 90.00
_cell_angle_beta 90.00
_cell_angle_gamma 90.00
_space_group_name_H-M_alt 'P 4/m m m'
_space_group_IT_number 123
_space_group_name_Hall '-P 4 2'
loop_
_atom_site_label
_atom_site_type_symbol
_atom_site_fract_x
_atom_site_fract_y
_atom_site_fract_z
_atom_site_occupancy
Mn1 Mn 0.000 0.500 0.000 1
Ga1 Ga 0.000 0.000 0.500 1
H1 H 0.500 0.500 0.000 1
Ru1 Ru 0.500 0.500 0.500 1
```

Calculated values
- M_tot (μB/cell) = 5.47
- calculated volume (Å³/f.u.) = 55
- offset from the most stable computed form (eV per atom) = 0.000
- crystal system = tetragonal

No. 11
## CsTlBr3 (PBE-GGA)

Data for a relaxed CsTlBr3 crystal.

CIF file:
```
data_CsTlBr3
_cell_length_a 6.733
_cell_length_b 5.824
_cell_length_c 13.591
_cell_angle_alpha 90.00
_cell_angle_beta 90.00
_cell_angle_gamma 90.00
_space_group_name_H-M_alt 'A m m 2'
_space_group_IT_number 38
loop_
_space_group_symop_operation_xyz
'x,y,z'
'-x,-y,z'
'-x,y,z'
'x,-y,z'
'x,y+1/2,z+1/2'
'-x,-y+1/2,z+1/2'
'-x,y+1/2,z+1/2'
'x,-y+1/2,z+1/2'
loop_
_atom_site_label
_atom_site_type_symbol
_atom_site_fract_x
_atom_site_fract_y
_atom_site_fract_z
_atom_site_occupancy
Cs1 Cs 0.000 0.000 0.000 1
Tl1 Tl 0.500 0.000 0.740 1
Br1 Br 0.000 0.250 0.247 1
Br2 Br 0.500 0.000 0.954 1
```

Calculated values
- M_tot (μB/cell) = 0.00
- calculated volume (Å³/f.u.) = 266
- crystal system = orthorhombic
- formation energy without anion corrections (kJ/mol of formula units) = -473

No. 12
## Tb6Y2Se3 (PBE-GGA)

Data for a relaxed Tb6Y2Se3 crystal.

CIF file:
```
data_Tb6Y2Se3
_cell_length_a 3.8183
_cell_length_b 3.8183
_cell_length_c 75.7585
_cell_angle_alpha 90.00
_cell_angle_beta 90.00
_cell_angle_gamma 120.00
_space_group_name_H-M_alt 'R -3 m'
_space_group_IT_number 166
_space_group_name_Hall '-R 3 2"'
loop_
_atom_site_label
_atom_site_type_symbol
_atom_site_fract_x
_atom_site_fract_y
_atom_site_fract_z
_atom_site_occupancy
Tb1 Tb 0.0000 0.0000 0.0732 1
Tb2 Tb 0.0000 0.0000 0.1851 1
Tb3 Tb 0.0000 0.0000 0.3578 1
Y1 Y 0.0000 0.0000 0.4440 1
Se1 Se 0.0000 0.0000 0.0000 1
Se2 Se 0.0000 0.0000 0.2850 1
```

Calculated values
- M_tot (μB/cell) = 0.01
- calculated volume (Å³/f.u.) = 319
- crystal system = trigonal
- formation energy without anion corrections (kJ/mol of formula units) = -950

> Look up the M_tot of the seventh one.

0.00 μB/cell

> Which of these has the highest calculated volume?

Cs3Cu2PdBr9